A plane-wave DFT calculation with GGA-PBE was carried out for crystalline Th2CuAs4 at its relaxed geometry.

a = 4.0836 Å, b = 4.0836 Å, c = 9.4313 Å
α = 90.00°, β = 90.00°, γ = 90.00°
With the nearest neighbours (Å) after each atom.
Fractional coordinates of all 7 atoms:
Th (0.0000, 0.5000, 0.2486)  8 As 3.04-3.13, 2 Cu 3.11
Th (0.5000, 0.0000, 0.7514)  8 As 3.04-3.13, 2 Cu 3.11
Cu (0.5000, 0.5000, 0.0000)  4 As 2.47
As (0.0000, 0.0000, 0.5000)  4 As 2.89, 4 Th 3.13
As (0.0000, 0.5000, 0.8524)  2 Cu 2.47
As (0.5000, 0.0000, 0.1476)  2 Cu 2.47
As (0.5000, 0.5000, 0.5000)  4 As 2.89, 4 Th 3.13

Calculated total energy: -6.25 eV/atom
SG: P-4m2
Size of the total moment: 0.00 μB/cell

---

A plane-wave DFT calculation with GGA-PBE was carried out for crystalline SmGd2In3Ni3 at its relaxed geometry.

a = 3.8552 Å, b = 7.4793 Å, c = 7.4793 Å
α = 119.94°, β = 90.00°, γ = 90.00°
With the nearest neighbours (Å) after each atom.
Fractional coordinates of all 9 atoms:
Sm (0.0000, 0.0000, 0.0000)  5 Ni 2.97-3.09, 6 In 3.17-3.32
Gd (0.0000, 0.1757, 0.5877)  5 Ni 2.97-3.08, 6 In 3.17-3.31
Gd (0.0000, 0.5877, 0.1757)  5 Ni 2.97-3.08, 6 In 3.17-3.31
In (0.5000, 0.3364, 0.3364)  4 Ni 2.69-2.85
In (0.5000, 0.5870, 0.8394)  4 Ni 2.70-2.85
In (0.5000, 0.8394, 0.5870)  4 Ni 2.70-2.85
Ni (0.0000, 0.5873, 0.5873)  6 In 2.69-2.70
Ni (0.5000, 0.2548, 0.9209)  3 In 2.84-2.85, 4 Gd 2.97, 2 Sm 2.97
Ni (0.5000, 0.9209, 0.2548)  3 In 2.84-2.85, 4 Gd 2.97, 2 Sm 2.97

Calculated total energy: -4.82 eV/atom
SG: Amm2
Size of the total moment: 0.05 μB/cell

---

A plane-wave DFT calculation with GGA-PBE was carried out for crystalline RbAgH3 at its relaxed geometry.

a = 7.4092 Å, b = 4.9630 Å, c = 9.5328 Å
α = 90.00°, β = 104.26°, γ = 90.00°
With the nearest neighbours (Å) after each atom.
Fractional coordinates of all 20 atoms:
Rb (0.1909, 0.2121, 0.1728)  6 H 2.71-3.03
Rb (0.1909, 0.2879, 0.6728)  6 H 2.71-3.03
Rb (0.8091, 0.7121, 0.3272)  6 H 2.71-3.03
Rb (0.8091, 0.7879, 0.8272)  6 H 2.71-3.03
Ag (0.4055, 0.7495, 0.5088)  4 H 1.74-1.81
Ag (0.4055, 0.7505, 0.0088)  4 H 1.74-1.81
Ag (0.5945, 0.2495, 0.9912)  4 H 1.74-1.81
Ag (0.5945, 0.2505, 0.4912)  4 H 1.74-1.81
H (0.1668, 0.6908, 0.9718)  1 Ag 1.74
H (0.1668, 0.8092, 0.4718)  1 Ag 1.74
H (0.3734, 0.0764, 0.9318)  2 Ag 1.77-1.81
H (0.3734, 0.4236, 0.4318)  2 Ag 1.77-1.81
H (0.4954, 0.0043, 0.6379)  1 Ag 1.78
H (0.4954, 0.4957, 0.1379)  1 Ag 1.78
H (0.5046, 0.5043, 0.8621)  1 Ag 1.78
H (0.5046, 0.9957, 0.3621)  1 Ag 1.78
H (0.6266, 0.5764, 0.5682)  2 Ag 1.77-1.81
H (0.6266, 0.9236, 0.0682)  2 Ag 1.77-1.81
H (0.8332, 0.1908, 0.5282)  1 Ag 1.74
H (0.8332, 0.3092, 0.0282)  1 Ag 1.74

Calculated total energy: -2.72 eV/atom
SG: P2_1/c

---

A plane-wave DFT calculation with GGA-PBE was carried out for crystalline LuCoTcAs at its relaxed geometry.

a = 4.4148 Å, b = 4.4148 Å, c = 4.4148 Å
α = 60.00°, β = 60.00°, γ = 60.00°
With the nearest neighbours (Å) after each atom.
Fractional coordinates of all 4 atoms:
Lu (0.0000, 0.0000, 0.0000)  4 Tc 2.70, 4 Co 2.70
Co (0.7500, 0.7500, 0.7500)  4 As 2.70, 4 Lu 2.70
Tc (0.2500, 0.2500, 0.2500)  4 As 2.70, 4 Lu 2.70
As (0.5000, 0.5000, 0.5000)  4 Co 2.70, 4 Tc 2.70

Calculated total energy: -6.80 eV/atom
SG: F-43m
Size of the total moment: 0.00 μB/cell

---

A plane-wave DFT calculation with GGA-PBE was carried out for crystalline LaNd2Al2Ni4 at its relaxed geometry.

a = 5.5069 Å, b = 5.5069 Å, c = 8.3095 Å
α = 98.08°, β = 98.08°, γ = 44.67°
With the nearest neighbours (Å) after each atom.
Fractional coordinates of all 9 atoms:
La (0.0000, 0.0000, 0.0000)  6 Ni 2.86-3.20
Nd (0.3748, 0.3748, 0.6172)  6 Ni 2.87-3.04, 1 Al 3.19
Nd (0.6252, 0.6252, 0.3828)  6 Ni 2.87-3.04, 1 Al 3.19
Al (0.3217, 0.3217, 0.2150)  5 Ni 2.44-2.54
Al (0.6783, 0.6783, 0.7850)  5 Ni 2.44-2.54
Ni (0.0856, 0.0856, 0.6363)  2 Al 2.54, 2 Ni 2.64-2.70
Ni (0.2617, 0.2617, 0.9137)  3 Al 2.44-2.49, 3 Ni 2.57-2.70
Ni (0.7383, 0.7383, 0.0863)  3 Al 2.44-2.49, 3 Ni 2.57-2.70
Ni (0.9144, 0.9144, 0.3637)  2 Al 2.54, 2 Ni 2.64-2.70

Calculated total energy: -5.41 eV/atom
SG: C2/m
Size of the total moment: 0.01 μB/cell

---

A plane-wave DFT calculation with GGA-PBE was carried out for crystalline Tl2AgHgF6 at its relaxed geometry.

a = 6.1703 Å, b = 6.1703 Å, c = 6.1703 Å
α = 60.00°, β = 60.00°, γ = 60.00°
With the nearest neighbours (Å) after each atom.
Fractional coordinates of all 10 atoms:
Tl (0.2500, 0.2500, 0.2500)  12 F 3.09
Tl (0.7500, 0.7500, 0.7500)  12 F 3.09
Ag (0.0000, 0.0000, 0.0000)  6 F 2.15
Hg (0.5000, 0.5000, 0.5000)  6 F 2.21
F (0.2468, 0.2468, 0.7532)  1 Ag 2.15, 1 Hg 2.21
F (0.2468, 0.7532, 0.2468)  1 Ag 2.15, 1 Hg 2.21
F (0.2468, 0.7532, 0.7532)  1 Ag 2.15, 1 Hg 2.21
F (0.7532, 0.2468, 0.2468)  1 Ag 2.15, 1 Hg 2.21
F (0.7532, 0.2468, 0.7532)  1 Ag 2.15, 1 Hg 2.21
F (0.7532, 0.7532, 0.2468)  1 Ag 2.15, 1 Hg 2.21

Calculated total energy: -3.36 eV/atom
SG: Fm-3m

---

A plane-wave DFT calculation with GGA-PBE was carried out for crystalline BaAgPd2 at its relaxed geometry.

a = 4.9996 Å, b = 4.9996 Å, c = 4.9996 Å
α = 60.00°, β = 60.00°, γ = 60.00°
With the nearest neighbours (Å) after each atom.
Fractional coordinates of all 4 atoms:
Ba (0.0000, 0.0000, 0.0000)  4 Pd 3.06, 4 Ag 3.06
Ag (0.2500, 0.2500, 0.2500)  4 Ba 3.06, 4 Pd 3.06
Pd (0.5000, 0.5000, 0.5000)  4 Pd 3.06, 4 Ag 3.06
Pd (0.7500, 0.7500, 0.7500)  4 Ba 3.06, 4 Pd 3.06

Calculated total energy: -3.81 eV/atom
SG: F-43m

---

A plane-wave DFT calculation with GGA-PBE was carried out for crystalline K3Tb3P2 at its relaxed geometry.

a = 8.5174 Å, b = 8.5174 Å, c = 8.5174 Å
α = 47.92°, β = 47.92°, γ = 47.92°
With the nearest neighbours (Å) after each atom.
Fractional coordinates of all 8 atoms:
K (0.0000, 0.0000, 0.0000)  6 K 4.22, 6 Tb 4.26, 6 P 4.40
K (0.3940, 0.3940, 0.3940)  1 P 3.22
K (0.6060, 0.6060, 0.6060)  1 P 3.22
Tb (0.0000, 0.0000, 0.5000)  2 P 2.77
Tb (0.0000, 0.5000, 0.0000)  2 P 2.77
Tb (0.5000, 0.0000, 0.0000)  2 P 2.77
P (0.2515, 0.2515, 0.2515)  3 Tb 2.77
P (0.7485, 0.7485, 0.7485)  3 Tb 2.77

Calculated total energy: -3.71 eV/atom
SG: R-3m
Size of the total moment: 0.58 μB/cell

---

A plane-wave DFT calculation with GGA-PBE was carried out for crystalline HoTaN2O at its relaxed geometry.

a = 7.8730 Å, b = 7.9229 Å, c = 11.0814 Å
α = 90.00°, β = 134.70°, γ = 90.00°
With the nearest neighbours (Å) after each atom.
Fractional coordinates of all 40 atoms:
Ho (0.2070, 0.0129, 0.4709)  2 O 2.24, 2 N 2.33-2.39
Ho (0.2070, 0.4871, 0.9709)  2 O 2.24, 2 N 2.33-2.39
Ho (0.2411, 0.5021, 0.4965)  3 N 2.32-2.55, 1 O 2.37
Ho (0.2411, 0.9979, 0.9965)  3 N 2.32-2.55, 1 O 2.37
Ho (0.7589, 0.0021, 0.0035)  3 N 2.32-2.55, 1 O 2.37
Ho (0.7589, 0.4979, 0.5035)  3 N 2.32-2.55, 1 O 2.37
Ho (0.7930, 0.5129, 0.0291)  2 O 2.24, 2 N 2.33-2.39
Ho (0.7930, 0.9871, 0.5291)  2 O 2.24, 2 N 2.33-2.39
Ta (0.2683, 0.2495, 0.2562)  4 N 1.99-2.06, 2 O 2.12-2.16
Ta (0.2683, 0.2505, 0.7562)  4 N 1.99-2.06, 2 O 2.12-2.16
Ta (0.2702, 0.7437, 0.7652)  4 N 1.98-2.06, 2 O 2.14-2.15
Ta (0.2702, 0.7563, 0.2652)  4 N 1.98-2.06, 2 O 2.14-2.15
Ta (0.7298, 0.2437, 0.7348)  4 N 1.98-2.06, 2 O 2.14-2.15
Ta (0.7298, 0.2563, 0.2348)  4 N 1.98-2.06, 2 O 2.14-2.15
Ta (0.7317, 0.7495, 0.2438)  4 N 1.99-2.06, 2 O 2.12-2.16
Ta (0.7317, 0.7505, 0.7438)  4 N 1.99-2.06, 2 O 2.12-2.16
N (0.1725, 0.0049, 0.1963)  2 Ta 2.02-2.06
N (0.1725, 0.4951, 0.6963)  2 Ta 2.02-2.06
N (0.2497, 0.5046, 0.2791)  2 Ta 2.02-2.06
N (0.2497, 0.9954, 0.7791)  2 Ta 2.02-2.06
N (0.4268, 0.2348, 0.6756)  2 Ta 1.98-1.99
N (0.4268, 0.2652, 0.1756)  2 Ta 1.98-1.99
N (0.4286, 0.7107, 0.0030)  2 Ta 1.99
N (0.4286, 0.7893, 0.5030)  2 Ta 1.99
N (0.5714, 0.2107, 0.4970)  2 Ta 1.99
N (0.5714, 0.2893, 0.9970)  2 Ta 1.99
N (0.5732, 0.7348, 0.8244)  2 Ta 1.98-1.99
N (0.5732, 0.7652, 0.3244)  2 Ta 1.98-1.99
N (0.7503, 0.0046, 0.2209)  2 Ta 2.02-2.06
N (0.7503, 0.4954, 0.7209)  2 Ta 2.02-2.06
N (0.8275, 0.5049, 0.3037)  2 Ta 2.02-2.06
N (0.8275, 0.9951, 0.8037)  2 Ta 2.02-2.06
O (0.0703, 0.7118, 0.0032)  2 Ta 2.14-2.16, 1 Ho 2.24
O (0.0703, 0.7882, 0.5032)  2 Ta 2.14-2.16, 1 Ho 2.24
O (0.0780, 0.2442, 0.8267)  2 Ta 2.12-2.15, 2 Ho 2.24-2.37
O (0.0780, 0.2558, 0.3267)  2 Ta 2.12-2.15, 2 Ho 2.24-2.37
O (0.9220, 0.7442, 0.6733)  2 Ta 2.12-2.15, 2 Ho 2.24-2.37
O (0.9220, 0.7558, 0.1733)  2 Ta 2.12-2.15, 2 Ho 2.24-2.37
O (0.9297, 0.2118, 0.4968)  2 Ta 2.14-2.16, 1 Ho 2.24
O (0.9297, 0.2882, 0.9968)  2 Ta 2.14-2.16, 1 Ho 2.24

Calculated total energy: -9.54 eV/atom
SG: P2_1/c
Size of the total moment: 0.00 μB/cell

---

A plane-wave DFT calculation with GGA-PBE was carried out for crystalline TmSnPt at its relaxed geometry.

a = 7.0723 Å, b = 7.0723 Å, c = 4.4279 Å
α = 90.00°, β = 90.00°, γ = 120.00°
With the nearest neighbours (Å) after each atom.
Fractional coordinates of all 9 atoms:
Tm (0.0000, 0.5633, 0.0000)  5 Sn 3.04-3.09, 2 Pt 3.17
Tm (0.4367, 0.4367, 0.0000)  5 Sn 3.04-3.09, 2 Pt 3.17
Tm (0.5633, 0.0000, 0.0000)  5 Sn 3.04-3.09, 2 Pt 3.17
Sn (0.0000, 0.0000, 0.0000)  6 Pt 2.80, 3 Tm 3.09
Sn (0.3333, 0.6667, 0.5000)  3 Pt 2.73, 6 Tm 3.04
Sn (0.6667, 0.3333, 0.5000)  3 Pt 2.73, 6 Tm 3.04
Pt (0.0000, 0.2432, 0.5000)  4 Sn 2.73-2.80, 2 Pt 2.98
Pt (0.2432, 0.0000, 0.5000)  4 Sn 2.73-2.80, 2 Pt 2.98
Pt (0.7568, 0.7568, 0.5000)  4 Sn 2.73-2.80, 2 Pt 2.98

Calculated total energy: -5.74 eV/atom
SG: P-62m
Size of the total moment: 0.00 μB/cell

---

A plane-wave DFT calculation with GGA-PBE was carried out for crystalline AgTeO3 at its relaxed geometry.

a = 3.4516 Å, b = 3.4516 Å, c = 5.6682 Å
α = 90.00°, β = 90.00°, γ = 90.00°
With the nearest neighbours (Å) after each atom.
Fractional coordinates of all 5 atoms:
Ag (0.0000, 0.0000, 0.0000)  1 O 2.03
Te (0.5000, 0.5000, 0.4784)  4 O 2.06
O (0.0000, 0.0000, 0.6413)  1 Ag 2.03
O (0.0000, 0.5000, 0.2795)  2 Te 2.06
O (0.5000, 0.0000, 0.2795)  2 Te 2.06

Calculated total energy: -4.46 eV/atom
SG: P4mm

---

A plane-wave DFT calculation with GGA-PBE was carried out for crystalline NaTbDy at its relaxed geometry.

a = 5.3152 Å, b = 5.3152 Å, c = 5.3152 Å
α = 60.00°, β = 60.00°, γ = 60.00°
With the nearest neighbours (Å) after each atom.
Fractional coordinates of all 3 atoms:
Na (0.0000, 0.0000, 0.0000)  4 Tb 3.25, 4 Dy 3.25
Tb (0.2500, 0.2500, 0.2500)  4 Na 3.25
Dy (0.7500, 0.7500, 0.7500)  4 Na 3.25

Calculated total energy: -2.69 eV/atom
SG: F-43m
Size of the total moment: 1.47 μB/cell